[1]
Here is Ce4AgAs5 after structural relaxation from the Alexandria database. Energies are from PBE. Values from VASP.

The structure in Quantum ESPRESSO input format:
```
&SYSTEM
  ibrav = 0, nat = 10, ntyp = 3
/
ATOMIC_SPECIES
Ce 140.12 Ce.upf
Ag 107.87 Ag.upf
As 74.92 As.upf
ATOMIC_POSITIONS crystal
Ce 0.892 0.892 0.325
Ce 0.298 0.298 0.107
Ce 0.702 0.702 0.893
Ce 0.108 0.108 0.675
Ag 0.500 0.500 0.500
As 0.405 0.405 0.785
As 0.000 0.000 0.000
As 0.595 0.595 0.215
As 0.804 0.804 0.587
As 0.196 0.196 0.413
CELL_PARAMETERS angstrom
4.258 0.000 0.522
2.097 3.706 0.522
0.202 0.118 15.977
```

Calculated values
**Total magnetization**: 1.7 μB/f.u.
**Space-group type**: No. 166
**E**: -60.66 eV/cell

[2]
Here is CeAgAsN after structural relaxation from the Alexandria database. Energies are from PBE. Values from VASP.

The structure in Quantum ESPRESSO input format:
```
&SYSTEM
  ibrav = 0, nat = 4, ntyp = 4
/
ATOMIC_SPECIES
Ce 140.12 Ce.upf
Ag 107.87 Ag.upf
As 74.92 As.upf
N 14.01 N.upf
ATOMIC_POSITIONS crystal
Ce 0.613 0.613 0.226
Ag 0.314 0.314 0.629
As 0.929 0.929 0.859
N 0.155 0.155 0.311
CELL_PARAMETERS angstrom
3.262 0.000 0.000
0.000 3.262 0.000
-1.631 -1.631 7.017
```

Calculated values
**Total magnetization**: 0.3 μB/f.u.
**Formation energy (no corrections)**: -2.02 eV per formula unit
**Space-group type**: No. 107
**E**: -23.78 eV/cell

[3]
Here is CeAgAsO after structural relaxation from the Alexandria database. Energies are from PBE. Values from VASP.

The structure in Quantum ESPRESSO input format:
```
&SYSTEM
  ibrav = 0, nat = 8, ntyp = 4
/
ATOMIC_SPECIES
Ce 140.12 Ce.upf
Ag 107.87 Ag.upf
As 74.92 As.upf
O 16.00 O.upf
ATOMIC_POSITIONS crystal
Ce 0.000 0.500 0.862
Ce 0.500 0.000 0.138
Ag 0.000 0.000 0.500
Ag 0.500 0.500 0.500
As 0.500 0.000 0.705
As 0.000 0.500 0.295
O 0.500 0.500 0.000
O 0.000 0.000 0.000
CELL_PARAMETERS angstrom
4.029 0.000 0.000
0.000 4.029 0.000
0.000 0.000 8.922
```

Calculated values
**Total magnetization**: 0.2 μB/f.u.
**Formation energy (no corrections)**: -6.85 eV per formula unit
**Space-group type**: No. 129
**E**: -50.49 eV/cell

[4]
Here is CeAgAs2O8 after structural relaxation from the Alexandria database. Energies are from PBE. Values from VASP.

The structure in Quantum ESPRESSO input format:
```
&SYSTEM
  ibrav = 0, nat = 12, ntyp = 4
/
ATOMIC_SPECIES
Ce 140.12 Ce.upf
Ag 107.87 Ag.upf
As 74.92 As.upf
O 16.00 O.upf
ATOMIC_POSITIONS crystal
Ce 0.000 0.000 0.500
Ag 0.000 0.000 0.000
As 0.667 0.333 0.189
As 0.333 0.667 0.811
O 0.333 0.667 0.062
O 0.343 0.171 0.284
O 0.829 0.171 0.284
O 0.667 0.333 0.938
O 0.171 0.829 0.716
O 0.657 0.829 0.716
O 0.171 0.343 0.716
O 0.829 0.657 0.284
CELL_PARAMETERS angstrom
5.755 0.000 0.000
-2.877 4.984 0.000
0.000 0.000 6.707
```

Calculated values
**Total magnetization**: 1.0 μB/f.u.
**Formation energy (no corrections)**: -17.20 eV per formula unit
**Space-group type**: No. 164
**E**: -74.95 eV/cell